1.
First-principles (GGA+U) data for HfCrN2F after structural relaxation, as listed in Alexandria.

Summary:
Space group: P4/mmm
Magnetic moment, μB per cell: 3.21
E above lowest polymorph, eV per atom: 0.000
V, Å³ per cell: 71.6

Cell lengths 4.207, 4.207, 4.045 Å; angles 90.00, 90.00, 90.00 degrees
Last column: magnetic moment on the atom in μB.
Atoms (fractional coordinates):
Cr 0.500 0.500 0.500  4.17
N 0.000 0.500 0.000  -0.47
N 0.500 0.000 0.000  -0.47
Hf 0.000 0.000 0.000  -0.03
F 0.000 0.000 0.500  0.02

***

2.
First-principles (GGA+U) data for HfCrN2F after structural relaxation, as listed in Alexandria.

Summary:
Space group: P4/mmm
Magnetic moment, μB per cell: 2.97
E above lowest polymorph, eV per atom: 0.126
V, Å³ per cell: 56.1

Cell lengths 3.949, 3.949, 3.596 Å; angles 90.00, 90.00, 90.00 degrees
Last column: magnetic moment on the atom in μB.
Atoms (fractional coordinates):
Cr 0.000 0.000 0.000  2.80
N 0.000 0.500 0.000  -0.06
N 0.500 0.000 0.000  -0.06
Hf 0.500 0.500 0.500  0.16
F 0.000 0.000 0.500  0.03

***

3.
First-principles (GGA+U) data for HfCrNF2 after structural relaxation, as listed in Alexandria.

Summary:
Space group: P4/mmm
Magnetic moment, μB per cell: 5.00
E above lowest polymorph, eV per atom: 0.000
V, Å³ per cell: 72.9

Cell lengths 4.169, 4.169, 4.197 Å; angles 90.00, 90.00, 90.00 degrees
Last column: magnetic moment on the atom in μB.
Atoms (fractional coordinates):
Cr 0.500 0.500 0.500  4.55
N 0.000 0.000 0.500  -0.07
Hf 0.000 0.000 0.000  0.03
F 0.000 0.500 0.000  0.03
F 0.500 0.000 0.000  0.03

***

4.
First-principles (GGA+U) data for HfCrNF2 after structural relaxation, as listed in Alexandria.

Summary:
Space group: P4/mmm
Magnetic moment, μB per cell: 4.73
E above lowest polymorph, eV per atom: 0.709
V, Å³ per cell: 71.4

Cell lengths 3.673, 3.673, 5.293 Å; angles 90.00, 90.00, 90.00 degrees
Last column: magnetic moment on the atom in μB.
Atoms (fractional coordinates):
Cr 0.000 0.000 0.000  3.66
N 0.000 0.000 0.500  -0.05
Hf 0.500 0.500 0.500  0.59
F 0.000 0.500 0.000  0.05
F 0.500 0.000 0.000  0.05